Below is an optimized crystal structure of ThCo4Sb12, with properties calculated at the GGA-PBE level.

Formation energy without anion corrections, meV per atom: -215
Fermi-level density of states, states/eV/cell: 13.6
Space group: No. 204
Crystal system: cubic

a = 7.979 Å, b = 7.979 Å, c = 7.979 Å
α = 109.47°, β = 109.47°, γ = 109.47°
Fractional positions:
1 Th 0.000 0.000 0.000
2 Co 0.000 0.000 0.500
3 Co 0.000 0.500 0.000
4 Co 0.500 0.000 0.000
5 Co 0.500 0.500 0.500
6 Sb 0.161 0.493 0.332
7 Sb 0.161 0.829 0.668
8 Sb 0.171 0.332 0.839
9 Sb 0.332 0.161 0.493
10 Sb 0.332 0.839 0.171
11 Sb 0.493 0.332 0.161
12 Sb 0.507 0.668 0.839
13 Sb 0.668 0.161 0.829
14 Sb 0.668 0.839 0.507
15 Sb 0.829 0.668 0.161
16 Sb 0.839 0.171 0.332
17 Sb 0.839 0.507 0.668

Below is an optimized crystal structure of Sm2GaSn4, with properties calculated at the GGA-PBE level.

Fermi-level density of states, states/eV/cell: 3.8
Space group: No. 12
Formation energy, eV per atom: -0.48
Crystal system: monoclinic

a = 6.339 Å, b = 6.339 Å, c = 6.577 Å
α = 118.91°, β = 118.91°, γ = 89.71°
Fractional positions:
1 Sm 0.000 0.500 0.000
2 Sm 0.500 0.000 0.000
3 Ga 0.000 0.000 0.000
4 Sn 0.000 0.000 0.500
5 Sn 0.000 0.500 0.500
6 Sn 0.500 0.000 0.500
7 Sn 0.500 0.500 0.500

Below is an optimized crystal structure of InCo2Ge, with properties calculated at the GGA-PBE level.

Fermi-level density of states, states/eV/cell: 2.8
Space group: No. 123
Formation energy, eV per atom: -0.01
Crystal system: tetragonal

a = 2.888 Å, b = 2.888 Å, c = 6.586 Å
α = 90.00°, β = 90.00°, γ = 90.00°
Fractional positions:
1 In 0.000 0.000 0.000
2 Co 0.500 0.500 0.293
3 Co 0.500 0.500 0.707
4 Ge 0.000 0.000 0.500

Below is an optimized crystal structure of Ba2CaI, with properties calculated at the GGA-PBE level.

Formation energy without anion corrections, meV per atom: -434
Fermi-level density of states, states/eV/cell: 5.7
Space group: No. 166
Crystal system: trigonal

a = 13.354 Å, b = 13.354 Å, c = 13.354 Å
α = 18.39°, β = 18.39°, γ = 18.39°
Fractional positions:
1 Ba 0.100 0.100 0.100
2 Ba 0.900 0.900 0.900
3 Ca 0.000 0.000 0.000
4 I 0.500 0.500 0.500